# 1
The following is a PBE-GGA calculation of U2NbSi4Pt3 after structural relaxation, from Alexandria via LeMat-Bulk.

Summary:
space group = P-4m2
DOS(E_F) = 16.029 states/eV/cell
uncorrected formation energy = -0.68 eV per atom

Cell lengths 4.2159, 4.2159, 10.0610 Å; angles 90.00, 90.00, 90.00 degrees
Fractional coordinates of all 10 atoms:
U (0.0000, 0.5000, 0.2459)
U (0.5000, 0.0000, 0.7541)
Nb (0.0000, 0.0000, 0.5000)
Si (0.0000, 0.0000, 0.0000)
Si (0.0000, 0.5000, 0.6445)
Si (0.5000, 0.0000, 0.3555)
Si (0.5000, 0.5000, 0.0000)
Pt (0.0000, 0.5000, 0.8824)
Pt (0.5000, 0.0000, 0.1176)
Pt (0.5000, 0.5000, 0.5000)

# 2
The following is a PBE-GGA calculation of SmNbPt6 after structural relaxation, from Alexandria via LeMat-Bulk.

Summary:
space group = P4/mmm
DOS(E_F) = 1.161 states/eV/cell
calculated formation energy = -0.7892 eV per atom

Cell lengths 4.0855, 4.0855, 8.1885 Å; angles 90.00, 90.00, 90.00 degrees
Fractional coordinates of all 8 atoms:
Sm (0.0000, 0.0000, 0.0000)
Nb (0.0000, 0.0000, 0.5000)
Pt (0.0000, 0.5000, 0.2675)
Pt (0.0000, 0.5000, 0.7325)
Pt (0.5000, 0.0000, 0.2675)
Pt (0.5000, 0.0000, 0.7325)
Pt (0.5000, 0.5000, 0.0000)
Pt (0.5000, 0.5000, 0.5000)

# 3
The following is a PBE-GGA calculation of Nb14SnPt after structural relaxation, from Alexandria via LeMat-Bulk.

Summary:
space group = Cmmm
DOS(E_F) = 17.362 states/eV/cell
calculated formation energy = -0.1302 eV per atom

Cell lengths 5.7748, 5.7748, 9.1469 Å; angles 90.00, 90.00, 106.89 degrees
Fractional coordinates of all 16 atoms:
Nb (0.0000, 0.0000, 0.0000)
Nb (0.0000, 0.5000, 0.0000)
Nb (0.0000, 0.5000, 0.5000)
Nb (0.2460, 0.7540, 0.2556)
Nb (0.2460, 0.7540, 0.7444)
Nb (0.2591, 0.2591, 0.2470)
Nb (0.2591, 0.2591, 0.7530)
Nb (0.5000, 0.0000, 0.0000)
Nb (0.5000, 0.0000, 0.5000)
Nb (0.5000, 0.5000, 0.0000)
Nb (0.7409, 0.7409, 0.2470)
Nb (0.7409, 0.7409, 0.7530)
Nb (0.7540, 0.2460, 0.2556)
Nb (0.7540, 0.2460, 0.7444)
Sn (0.0000, 0.0000, 0.5000)
Pt (0.5000, 0.5000, 0.5000)

# 4
The following is a PBE-GGA calculation of NbSn3Pt after structural relaxation, from Alexandria via LeMat-Bulk.

Summary:
space group = Pm-3m
DOS(E_F) = 7.478 states/eV/cell
calculated formation energy = 0.8343 eV per atom
offset from the most stable computed form = 0.114 eV/atom

Cell lengths 5.3038, 5.3038, 5.3038 Å; angles 90.00, 90.00, 90.00 degrees
Fractional coordinates of all 5 atoms:
Nb (0.0000, 0.0000, 0.0000)
Sn (0.0000, 0.0000, 0.5000)
Sn (0.0000, 0.5000, 0.0000)
Sn (0.5000, 0.0000, 0.0000)
Pt (0.5000, 0.5000, 0.5000)

# 5
The following is a PBE-GGA calculation of Nb3SnPt after structural relaxation, from Alexandria via LeMat-Bulk.

Summary:
space group = Pm-3m
DOS(E_F) = 5.870 states/eV/cell
calculated formation energy = 1.7263 eV per atom
offset from the most stable computed form = 1.804 eV/atom

Cell lengths 4.9591, 4.9591, 4.9591 Å; angles 90.00, 90.00, 90.00 degrees
Fractional coordinates of all 5 atoms:
Nb (0.0000, 0.0000, 0.5000)
Nb (0.0000, 0.5000, 0.0000)
Nb (0.5000, 0.0000, 0.0000)
Sn (0.0000, 0.0000, 0.0000)
Pt (0.5000, 0.5000, 0.5000)

# 6
The following is a PBE-GGA calculation of NbSnPt2 after structural relaxation, from Alexandria via LeMat-Bulk.

Summary:
space group = I-42d
DOS(E_F) = 20.214 states/eV/cell
calculated formation energy = -0.1533 eV per atom

Cell lengths 7.3542, 7.3542, 5.7028 Å; angles 90.00, 90.00, 90.00 degrees
Fractional coordinates of all 16 atoms:
Nb (0.0000, 0.0000, 0.0000)
Nb (0.0000, 0.5000, 0.2500)
Nb (0.5000, 0.0000, 0.7500)
Nb (0.5000, 0.5000, 0.5000)
Sn (0.0000, 0.0000, 0.5000)
Sn (0.0000, 0.5000, 0.7500)
Sn (0.5000, 0.0000, 0.2500)
Sn (0.5000, 0.5000, 0.0000)
Pt (0.2427, 0.2500, 0.1250)
Pt (0.2500, 0.7427, 0.3750)
Pt (0.2500, 0.7573, 0.8750)
Pt (0.2573, 0.2500, 0.6250)
Pt (0.7427, 0.7500, 0.6250)
Pt (0.7500, 0.2427, 0.8750)
Pt (0.7500, 0.2573, 0.3750)
Pt (0.7573, 0.7500, 0.1250)

# 7
The following is a PBE-GGA calculation of NbSn2Pt after structural relaxation, from Alexandria via LeMat-Bulk.

Summary:
space group = R-3m
DOS(E_F) = 12.618 states/eV/cell
calculated formation energy = 0.2028 eV per atom
offset from the most stable computed form = 0.414 eV/atom

Cell lengths 3.1667, 3.1667, 29.7770 Å; angles 90.00, 90.00, 120.00 degrees
Fractional coordinates of all 12 atoms:
Nb (0.0000, 0.0000, 0.0000)
Nb (0.3333, 0.6667, 0.6667)
Nb (0.6667, 0.3333, 0.3333)
Sn (0.0000, 0.0000, 0.0954)
Sn (0.0000, 0.0000, 0.9046)
Sn (0.3333, 0.6667, 0.5712)
Sn (0.3333, 0.6667, 0.7621)
Sn (0.6667, 0.3333, 0.2379)
Sn (0.6667, 0.3333, 0.4288)
Pt (0.0000, 0.0000, 0.5000)
Pt (0.3333, 0.6667, 0.1667)
Pt (0.6667, 0.3333, 0.8333)

# 8
The following is a PBE-GGA calculation of Nb3SnPt after structural relaxation, from Alexandria via LeMat-Bulk.

Summary:
space group = Pm-3m
DOS(E_F) = 6.505 states/eV/cell
calculated formation energy = 0.8001 eV per atom
offset from the most stable computed form = 0.877 eV/atom

Cell lengths 4.9110, 4.9110, 4.9110 Å; angles 90.00, 90.00, 90.00 degrees
Fractional coordinates of all 5 atoms:
Nb (0.0000, 0.0000, 0.5000)
Nb (0.0000, 0.5000, 0.0000)
Nb (0.5000, 0.0000, 0.0000)
Sn (0.5000, 0.5000, 0.5000)
Pt (0.0000, 0.0000, 0.0000)

# 9
The following is a PBE-GGA calculation of NbSn3Pt12 after structural relaxation, from Alexandria via LeMat-Bulk.

Summary:
space group = P4/mmm
DOS(E_F) = 5.403 states/eV/cell
calculated formation energy = -0.4534 eV per atom

Cell lengths 4.0379, 4.0379, 16.2731 Å; angles 90.00, 90.00, 90.00 degrees
Fractional coordinates of all 16 atoms:
Nb (0.0000, 0.0000, 0.0000)
Sn (0.0000, 0.0000, 0.2515)
Sn (0.0000, 0.0000, 0.5000)
Sn (0.0000, 0.0000, 0.7485)
Pt (0.0000, 0.5000, 0.1185)
Pt (0.0000, 0.5000, 0.3740)
Pt (0.0000, 0.5000, 0.6260)
Pt (0.0000, 0.5000, 0.8815)
Pt (0.5000, 0.0000, 0.1185)
Pt (0.5000, 0.0000, 0.3740)
Pt (0.5000, 0.0000, 0.6260)
Pt (0.5000, 0.0000, 0.8815)
Pt (0.5000, 0.5000, 0.0000)
Pt (0.5000, 0.5000, 0.2457)
Pt (0.5000, 0.5000, 0.5000)
Pt (0.5000, 0.5000, 0.7543)

# 10
The following is a PBE-GGA calculation of NbSn2Pt9 after structural relaxation, from Alexandria via LeMat-Bulk.

Summary:
space group = P4/mmm
DOS(E_F) = 5.155 states/eV/cell
calculated formation energy = -0.4719 eV per atom

Cell lengths 4.0301, 4.0301, 12.2151 Å; angles 90.00, 90.00, 90.00 degrees
Fractional coordinates of all 12 atoms:
Nb (0.0000, 0.0000, 0.0000)
Sn (0.0000, 0.0000, 0.3348)
Sn (0.0000, 0.0000, 0.6652)
Pt (0.0000, 0.5000, 0.1581)
Pt (0.0000, 0.5000, 0.5000)
Pt (0.0000, 0.5000, 0.8419)
Pt (0.5000, 0.0000, 0.1581)
Pt (0.5000, 0.0000, 0.5000)
Pt (0.5000, 0.0000, 0.8419)
Pt (0.5000, 0.5000, 0.0000)
Pt (0.5000, 0.5000, 0.3289)
Pt (0.5000, 0.5000, 0.6711)

# 11
The following is a PBE-GGA calculation of NbSn3Pt after structural relaxation, from Alexandria via LeMat-Bulk.

Summary:
space group = Pm-3m
DOS(E_F) = 4.412 states/eV/cell
calculated formation energy = 0.7207 eV per atom
offset from the most stable computed form = 0.000 eV/atom

Cell lengths 5.1906, 5.1906, 5.1906 Å; angles 90.00, 90.00, 90.00 degrees
Fractional coordinates of all 5 atoms:
Nb (0.0000, 0.0000, 0.0000)
Sn (0.0000, 0.5000, 0.5000)
Sn (0.5000, 0.0000, 0.5000)
Sn (0.5000, 0.5000, 0.0000)
Pt (0.5000, 0.5000, 0.5000)

# 12
The following is a PBE-GGA calculation of Nb12Sn3Pt after structural relaxation, from Alexandria via LeMat-Bulk.

Summary:
space group = Pmmm
DOS(E_F) = 19.649 states/eV/cell
calculated formation energy = -0.2399 eV per atom

Cell lengths 5.2794, 5.2919, 10.6223 Å; angles 90.00, 90.00, 90.00 degrees
Fractional coordinates of all 16 atoms:
Nb (0.0000, 0.0000, 0.1188)
Nb (0.0000, 0.0000, 0.3704)
Nb (0.0000, 0.0000, 0.6296)
Nb (0.0000, 0.0000, 0.8812)
Nb (0.2478, 0.5000, 0.2444)
Nb (0.2478, 0.5000, 0.7556)
Nb (0.5000, 0.2461, 0.5000)
Nb (0.5000, 0.2561, 0.0000)
Nb (0.5000, 0.7439, 0.0000)
Nb (0.5000, 0.7539, 0.5000)
Nb (0.7522, 0.5000, 0.2444)
Nb (0.7522, 0.5000, 0.7556)
Sn (0.0000, 0.5000, 0.5000)
Sn (0.5000, 0.0000, 0.2512)
Sn (0.5000, 0.0000, 0.7488)
Pt (0.0000, 0.5000, 0.0000)

- What is the DOS(E_F) in the second record?
  1.161 states/eV/cell